A relaxed Pa2Mn7Al12 crystal. Source: the Alexandria database, functional PBE.

Magnetic moment   7.71 μB/cell
Energy of formation   -0.095 eV per atom
SG   P-6
Energy   -6.1945 eV/atom

Cell: 2.897 11.265 11.265 Å, 120.00 90.00 90.00°
Site moments in Bohr magnetons follow the coordinates.
Sites, in units of the cell vectors:
Mn: 0.000 0.187 0.246  -1.88
Mn: 0.500 0.892 0.377  -1.73
Mn: 0.500 0.623 0.515  -1.73
Mn: 0.000 0.754 0.941  -1.88
Mn: 0.500 0.485 0.108  -1.73
Mn: 0.000 0.059 0.813  -1.88
Mn: 0.000 0.333 0.667  2.07
Al: 0.000 0.500 0.928  0.00
Al: 0.000 0.429 0.500  0.00
Al: 0.000 0.770 0.725  0.01
Al: 0.500 0.560 0.744  0.00
Al: 0.000 0.955 0.230  0.01
Al: 0.500 0.890 0.612  0.01
Al: 0.500 0.256 0.815  0.00
Al: 0.500 0.185 0.440  0.00
Al: 0.500 0.722 0.110  0.01
Al: 0.000 0.072 0.571  0.00
Al: 0.000 0.275 0.045  0.01
Al: 0.500 0.388 0.278  0.01
Pa: 0.500 0.000 0.000  0.71
Pa: 0.000 0.667 0.333  0.39